1.
DFT (PBE-GGA) results for an optimized crystal structure of Ca2HSeS.

Values from the calculation:
distance to the lowest polymorph of the same formula	0.1104	eV per atom

a b c (Å): 4.097 4.097 7.973
angles (deg): 111.40 111.40 59.89
Fractional positions:
1 Ca 0.000 0.000 0.000
2 Ca 0.126 0.126 0.551
3 H 0.745 0.745 0.460
4 Se 0.460 0.460 0.253
5 S 0.567 0.567 0.784


2.
DFT (PBE-GGA) results for an optimized crystal structure of CsNaTlF3.

Values from the calculation:
E_form (uncorrected)	-2.3007	eV per atom

a b c (Å): 7.688 3.729 9.863
angles (deg): 90.00 110.39 90.00
Fractional positions:
1 Cs 0.006 0.250 0.259
2 Cs 0.994 0.750 0.741
3 Na 0.383 0.750 0.581
4 Na 0.617 0.250 0.419
5 Tl 0.414 0.750 0.117
6 Tl 0.586 0.250 0.883
7 F 0.193 0.250 0.010
8 F 0.232 0.250 0.621
9 F 0.359 0.750 0.351
10 F 0.641 0.250 0.649
11 F 0.768 0.750 0.379
12 F 0.807 0.750 0.990


3.
DFT (PBE-GGA) results for an optimized crystal structure of PmMgGaPb.

Values from the calculation:
distance to the lowest polymorph of the same formula	0.1467	eV per atom

a b c (Å): 5.247 5.247 5.247
angles (deg): 60.00 60.00 60.00
Fractional positions:
1 Pm 0.000 0.000 0.000
2 Mg 0.500 0.500 0.500
3 Ga 0.750 0.750 0.750
4 Pb 0.250 0.250 0.250


no.,volume (Å³/atom),ρ (g cm⁻³),Fermi-level density of states (states/eV per cell)
1,21.0,3.04,0.38
2,22.1,5.23,0.00
3,25.5,7.25,3.69